MnBi2MoO6 after structural relaxation, computed with GGA+U.

Geometry as CIF:
```
data_MnBi2MoO6
_chemical_formula_sum 'Mn2 Bi4 Mo2 O12'
_symmetry_space_group_name_H-M 'P 1 21/c 1'
_symmetry_Int_Tables_number 14
_symmetry_space_group_name_Hall '-P 2ybc'
_cell_length_a 5.6818
_cell_length_b 5.9878
_cell_length_c 9.8351
_cell_angle_alpha 90.00
_cell_angle_beta 124.87
_cell_angle_gamma 90.00
loop_
_atom_site_label
_atom_site_type_symbol
_atom_site_fract_x
_atom_site_fract_y
_atom_site_fract_z
Mn1 Mn 0.0000 0.0000 0.0000
Bi1 Bi 0.2337 0.0605 0.7251
Mo1 Mo 0.5000 0.0000 0.5000
O1 O 0.1485 0.0504 0.2605
O2 O 0.2014 0.6753 0.0292
O3 O 0.3801 0.2272 0.0754
```

Results
E_tot ... -6.666 eV per atom